a | This record from Alexandria via LeMat-Bulk describes an optimized crystal structure of LiMg4Au. The functional is PBE.

Results
Magnetization ... 0.00 μB per atom
Volume ... 141.9 Å³/cell
SG ... P4/mmm, No. 123

Unit cell a=4.601 b=4.601 c=6.704 alpha=89.99 beta=90.01 gamma=90.00
Fractional coordinates of all 6 atoms:
Li: 0.001 0.998 0.498
Mg: 0.501 0.997 0.234
Mg: 0.501 0.997 0.762
Mg: 0.001 0.497 0.762
Mg: 0.001 0.497 0.234
Au: 0.501 0.497 0.998



b | This record from Alexandria via LeMat-Bulk describes an optimized crystal structure of LiMg4Au. The functional is PBE.

Results
Magnetization ... 0.00 μB per atom
Volume ... 126.8 Å³/cell
SG ... F-43m, No. 216

Unit cell a=5.639 b=5.639 c=5.639 alpha=60.00 beta=60.00 gamma=60.00
Fractional coordinates of all 6 atoms:
Li: 0.000 0.000 0.000
Mg: 0.873 0.376 0.376
Mg: 0.376 0.376 0.873
Mg: 0.376 0.873 0.376
Mg: 0.376 0.376 0.376
Au: 0.750 0.750 0.750



The data favor a; the next most stable structure lies 104 meV/atom above it.



a | This record from Alexandria via LeMat-Bulk describes an optimized crystal structure of Li4MgAu2. The functional is PBE.

Results
Magnetization ... 0.00 μB per atom
Volume ... 243.1 Å³/cell
SG ... P2_1/m, No. 11

Unit cell a=7.275 b=5.189 c=7.218 alpha=90.00 beta=116.85 gamma=90.00
Fractional coordinates of all 14 atoms:
Li: 0.560 0.500 0.212
Li: 0.062 0.750 0.862
Li: 0.938 0.250 0.138
Li: 0.560 0.000 0.212
Li: 0.085 0.250 0.553
Li: 0.440 0.000 0.788
Li: 0.440 0.500 0.788
Li: 0.915 0.750 0.447
Mg: 0.220 0.750 0.306
Mg: 0.780 0.250 0.694
Au: 0.792 0.750 0.042
Au: 0.208 0.250 0.958
Au: 0.362 0.250 0.418
Au: 0.638 0.750 0.582



b | This record from Alexandria via LeMat-Bulk describes an optimized crystal structure of Li4MgAu2. The functional is PBE.

Results
Magnetization ... 0.00 μB per atom
Volume ... 111.1 Å³/cell
SG ... Fmmm, No. 69

Unit cell a=5.290 b=5.290 c=6.470 alpha=127.72 beta=127.72 gamma=60.22
Fractional coordinates of all 7 atoms:
Li: 0.750 0.250 0.500
Li: 0.250 0.750 0.500
Li: 0.500 0.000 0.000
Li: 0.000 0.500 0.000
Mg: 0.000 0.000 0.000
Au: 0.658 0.658 0.315
Au: 0.342 0.342 0.685



The data favor a; the next most stable structure lies 193 meV/atom above it.



a | This record from Alexandria via LeMat-Bulk describes an optimized crystal structure of Li4MgAu. The functional is PBE.

Results
Magnetization ... 0.00 μB per atom
Volume ... 96.4 Å³/cell
SG ... F-43m, No. 216

Unit cell a=5.147 b=5.147 c=5.147 alpha=60.00 beta=60.00 gamma=60.00
Fractional coordinates of all 6 atoms:
Li: 0.879 0.374 0.374
Li: 0.374 0.374 0.879
Li: 0.374 0.879 0.374
Li: 0.374 0.374 0.374
Mg: 0.750 0.750 0.750
Au: 0.000 0.000 0.000



b | This record from Alexandria via LeMat-Bulk describes an optimized crystal structure of Li4MgAu. The functional is PBE.

Results
Magnetization ... 0.00 μB per atom
Volume ... 203.8 Å³/cell
SG ... Cmmm, No. 65

Unit cell a=7.233 b=4.636 c=7.911 alpha=90.00 beta=90.00 gamma=129.81
Fractional coordinates of all 12 atoms:
Li: 0.272 0.522 0.083
Li: 0.272 0.522 0.417
Li: 0.728 0.978 0.083
Li: 0.728 0.478 0.583
Li: 0.728 0.978 0.417
Li: 0.272 0.022 0.917
Li: 0.272 0.022 0.583
Li: 0.728 0.478 0.917
Mg: 0.000 0.250 0.750
Mg: 0.000 0.750 0.250
Au: 0.500 0.250 0.250
Au: 0.500 0.750 0.750



The data favor b; the next most stable structure lies 135 meV/atom above it.